No. 1
First-principles (GGA-PBE) data for an optimized crystal structure of TlRe3Si, as listed in Alexandria.

Results
The calculation puts the uncorrected formation energy at 30.726 kcal/mol of atoms. The calculation puts the energy relative to the lowest polymorph listed for this composition at 0.000 eV per atom. Its density of states at the Fermi level is 6.01 states/eV/cell.

abc: 4.4846 4.4846 4.4846
angles: 90.00 90.00 90.00
Space group Pm-3m (No. 221)
One atom of each set of equivalent atoms:
Tl  0.0000  0.0000  0.0000
Re  0.0000  0.5000  0.5000
Si  0.5000  0.5000  0.5000

=====

No. 2
First-principles (GGA-PBE) data for an optimized crystal structure of Pr2Ga4IrPd3, as listed in Alexandria.

Results
The calculation puts the formation energy at -0.78 eV/atom. Its density of states at the Fermi level is 6.72 states/eV/cell.

abc: 4.3430 4.3430 10.2760
angles: 90.00 90.00 90.00
Space group P-4m2 (No. 115)
One atom of each set of equivalent atoms:
Pr  0.0000  0.5000  0.2467
Ga  0.0000  0.0000  0.5000
Ga  0.0000  0.5000  0.8730
Ga  0.5000  0.5000  0.5000
Ir  0.5000  0.5000  0.0000
Pd  0.0000  0.0000  0.0000
Pd  0.0000  0.5000  0.6300

=====

No. 3
First-principles (GGA-PBE) data for an optimized crystal structure of CrTeAsI2, as listed in Alexandria.

Results
The calculation puts the uncorrected formation energy at 13.980 kcal/mol of atoms. The calculation puts the energy relative to the lowest polymorph listed for this composition at 0.000 eV per atom. Its density of states at the Fermi level is 5.80 states/eV/cell.

abc: 5.5898 5.5898 5.6770
angles: 90.00 90.00 90.00
Space group P4/mmm (No. 123)
One atom of each set of equivalent atoms:
Cr  0.0000  0.0000  0.0000
Te  0.5000  0.5000  0.0000
As  0.5000  0.5000  0.5000
I  0.0000  0.5000  0.5000

=====

No. 4
First-principles (GGA-PBE) data for an optimized crystal structure of CeMg2TiN4, as listed in Alexandria.

Results
The calculation puts the uncorrected formation energy at -27.231 kcal/mol of atoms.

abc: 7.5372 6.3509 4.5967
angles: 90.00 90.00 90.00
Space group Pmn2_1 (No. 31)
One atom of each set of equivalent atoms:
Ce  0.0000  0.1760  0.0000
Mg  0.2404  0.6642  0.0018
Ti  0.0000  0.8104  0.5296
N  0.0000  0.1307  0.4977
N  0.0000  0.8269  0.9587
N  0.2256  0.6661  0.4857

=====

No. 5
First-principles (GGA-PBE) data for an optimized crystal structure of Nd6Si2Se3Br, as listed in Alexandria.

Results
The calculation puts the uncorrected formation energy at -32.734 kcal/mol of atoms. Its density of states at the Fermi level is 8.29 states/eV/cell.

abc: 18.5815 4.2398 8.6227
angles: 90.00 102.46 90.00
Space group C2/m (No. 12)
One atom of each set of equivalent atoms:
Nd  0.0087  0.0000  0.2748
Nd  0.1695  0.5000  0.5783
Nd  0.1752  0.5000  0.1050
Si  0.1671  0.0000  0.3338
Se  0.0000  0.5000  0.5000
Se  0.1607  0.0000  0.8381
Br  0.0000  0.5000  0.0000

=====

No. 6
First-principles (GGA-PBE) data for an optimized crystal structure of Y3FeAu, as listed in Alexandria.

Results
The calculation puts the formation energy at -0.04 eV/atom. The calculation puts the energy relative to the lowest polymorph listed for this composition at 0.000 eV per atom. Its density of states at the Fermi level is 4.07 states/eV/cell.

abc: 5.1050 5.1050 5.1050
angles: 90.00 90.00 90.00
Space group Pm-3m (No. 221)
One atom of each set of equivalent atoms:
Y  0.0000  0.0000  0.5000
Fe  0.0000  0.0000  0.0000
Au  0.5000  0.5000  0.5000

=====

No. 7
First-principles (GGA-PBE) data for an optimized crystal structure of La2InAu, as listed in Alexandria.

Results
The calculation puts the formation energy at -0.64 eV/atom. Its density of states at the Fermi level is 4.28 states/eV/cell.

abc: 3.7846 3.7846 8.0923
angles: 90.00 90.00 90.00
Space group P4/mmm (No. 123)
One atom of each set of equivalent atoms:
La  0.0000  0.0000  0.2311
In  0.5000  0.5000  0.5000
Au  0.5000  0.5000  0.0000

=====

No. 8
First-principles (GGA-PBE) data for an optimized crystal structure of NaZnGa2Ni, as listed in Alexandria.

Results
The calculation puts the formation energy at -0.13 eV/atom. Its density of states at the Fermi level is 2.11 states/eV/cell.

abc: 4.5731 4.5731 4.7099
angles: 90.00 90.00 90.00
Space group P4/mmm (No. 123)
One atom of each set of equivalent atoms:
Na  0.0000  0.0000  0.0000
Zn  0.5000  0.5000  0.0000
Ga  0.0000  0.5000  0.5000
Ni  0.5000  0.5000  0.5000

=====

| no. | total moment (μB/f.u.) |
| --- | --- |
| 1 | 0.366 |
| 2 | 0.000 |
| 3 | 4.615 |
| 4 | 0.000 |
| 5 | 0.000 |
| 6 | 0.000 |
| 7 | 0.000 |
| 8 | 0.000 |